[1]
Material: KTbCrCl6
Method: DFT, PBE
State: relaxed

The space group is P-31c (No. 163) and the conventional cell measures 6.7477, 6.7477 and 13.9654 Å, with angles of 90.00, 90.00 and 120.00 degrees. Symmetry generates all atoms from K at (0.0000, 0.0000, 0.0000), Tb at (0.3333, 0.6667, 0.2500), Cr at (0.3333, 0.6667, 0.7500) and Cl at (0.0158, 0.3777, 0.6443).

The calculation puts the density of states at the Fermi level at 13.822 states/eV per cell.

=====

[2]
Material: KTiCrCl6
Method: DFT, PBE
State: relaxed

The space group is P-31c (No. 163) and the conventional cell measures 6.4504, 6.4504 and 13.9529 Å, with angles of 90.00, 90.00 and 120.00 degrees. Symmetry generates all atoms from K at (0.0000, 0.0000, 0.0000), Ti at (0.3333, 0.6667, 0.2500), Cr at (0.3333, 0.6667, 0.7500) and Cl at (0.0031, 0.3729, 0.1508).

The calculation puts the density of states at the Fermi level at 17.320 states/eV per cell.

=====

[3]
Material: K2TlCrCl6
Method: DFT, PBE
State: relaxed

The space group is P-1 (No. 2) and the conventional cell measures 7.3057, 7.6624 and 10.4844 Å, with angles of 90.01, 90.49 and 90.01 degrees. Symmetry generates all atoms from K at (0.0240, 0.0737, 0.2479), K at (0.4750, 0.5735, 0.2530), Tl at (0.0000, 0.5000, 0.5000), Tl at (0.5000, 0.0000, 0.0000), Cr at (0.0000, 0.5000, 0.0000), Cr at (0.5000, 0.0000, 0.5000), Cl at (0.1098, 0.5350, 0.7889), Cl at (0.1553, 0.7612, 0.0616), Cl at (0.2349, 0.8343, 0.4476), Cl at (0.2640, 0.3334, 0.0532), Cl at (0.3451, 0.2618, 0.4395) and Cl at (0.3917, 0.0347, 0.7114).

=====

no.,ΔE_f (raw) (meV per atom)
1,-1767.3
2,-1463.1
3,-1449.6